1.
# YAgSn2 GGA-PBE relaxed
# space group	I-42d
# crystal system	tetragonal
data_YAgSn2
_cell_length_a 10.4772
_cell_length_b 10.4772
_cell_length_c 10.4772
_cell_angle_alpha 154.05
_cell_angle_beta 154.05
_cell_angle_gamma 37.03
_space_group_name_H-M_alt 'P 1'
_space_group_IT_number 1
loop_
_space_group_symop_operation_xyz
'x,y,z'
loop_
_atom_site_label
_atom_site_fract_x
_atom_site_fract_y
_atom_site_fract_z
Y1 0.0000 0.0000 0.0000
Y2 0.7500 0.2500 0.5000
Ag1 0.2500 0.7500 0.5000
Ag2 0.5000 0.5000 0.0000
Sn1 0.1693 0.6250 0.0443
Sn2 0.3750 0.4193 0.5443
Sn3 0.5807 0.1250 0.9557
Sn4 0.8750 0.8307 0.4557

2.
# YZrAgSn GGA-PBE relaxed
# space group	F-43m
# crystal system	cubic
data_YZrAgSn
_cell_length_a 5.0756
_cell_length_b 5.0756
_cell_length_c 5.0756
_cell_angle_alpha 60.00
_cell_angle_beta 60.00
_cell_angle_gamma 60.00
_space_group_name_H-M_alt 'P 1'
_space_group_IT_number 1
loop_
_space_group_symop_operation_xyz
'x,y,z'
loop_
_atom_site_label
_atom_site_fract_x
_atom_site_fract_y
_atom_site_fract_z
Y1 0.0000 0.0000 0.0000
Zr1 0.5000 0.5000 0.5000
Ag1 0.2500 0.2500 0.2500
Sn1 0.7500 0.7500 0.7500

3.
# YbAgSn GGA-PBE relaxed
# space group	P-3m1
# crystal system	trigonal
data_YbAgSn
_cell_length_a 4.7280
_cell_length_b 4.7280
_cell_length_c 8.2417
_cell_angle_alpha 90.00
_cell_angle_beta 90.00
_cell_angle_gamma 120.00
_space_group_name_H-M_alt 'P 1'
_space_group_IT_number 1
loop_
_space_group_symop_operation_xyz
'x,y,z'
loop_
_atom_site_label
_atom_site_fract_x
_atom_site_fract_y
_atom_site_fract_z
Yb1 0.0000 0.0000 0.2177
Yb2 0.0000 0.0000 0.7823
Ag1 0.3333 0.6667 0.0246
Ag2 0.6667 0.3333 0.9754
Sn1 0.3333 0.6667 0.4258
Sn2 0.6667 0.3333 0.5742

4.
# YbAgSn GGA-PBE relaxed
# space group	P-6m2
# crystal system	hexagonal
data_YbAgSn
_cell_length_a 4.8297
_cell_length_b 4.8297
_cell_length_c 10.8773
_cell_angle_alpha 90.00
_cell_angle_beta 90.00
_cell_angle_gamma 120.00
_space_group_name_H-M_alt 'P 1'
_space_group_IT_number 1
loop_
_space_group_symop_operation_xyz
'x,y,z'
loop_
_atom_site_label
_atom_site_fract_x
_atom_site_fract_y
_atom_site_fract_z
Yb1 0.0000 0.0000 0.0000
Yb2 0.0000 0.0000 0.3327
Yb3 0.0000 0.0000 0.6673
Ag1 0.3333 0.6667 0.1927
Ag2 0.3333 0.6667 0.8073
Ag3 0.6667 0.3333 0.5000
Sn1 0.3333 0.6667 0.5000
Sn2 0.6667 0.3333 0.1483
Sn3 0.6667 0.3333 0.8517

5.
# Zn5Ag4Sn GGA-PBE relaxed
# space group	Pmmn
# crystal system	orthorhombic
data_Zn5Ag4Sn
_cell_length_a 8.7562
_cell_length_b 9.3683
_cell_length_c 4.3572
_cell_angle_alpha 90.00
_cell_angle_beta 90.00
_cell_angle_gamma 90.00
_space_group_name_H-M_alt 'P 1'
_space_group_IT_number 1
loop_
_space_group_symop_operation_xyz
'x,y,z'
loop_
_atom_site_label
_atom_site_fract_x
_atom_site_fract_y
_atom_site_fract_z
Zn1 0.0401 0.0614 0.2501
Zn2 0.0401 0.4386 0.2501
Zn3 0.2500 0.2500 0.2500
Zn4 0.4599 0.0614 0.2501
Zn5 0.4599 0.4386 0.2501
Zn6 0.5401 0.5614 0.7499
Zn7 0.5401 0.9386 0.7499
Zn8 0.7500 0.7500 0.7500
Zn9 0.9599 0.5614 0.7499
Zn10 0.9599 0.9386 0.7499
Ag1 0.0149 0.7500 0.2495
Ag2 0.2500 0.0621 0.7500
Ag3 0.2500 0.4379 0.7500
Ag4 0.4851 0.7500 0.2495
Ag5 0.5149 0.2500 0.7505
Ag6 0.7500 0.5621 0.2500
Ag7 0.7500 0.9379 0.2500
Ag8 0.9851 0.2500 0.7505
Sn1 0.2500 0.7500 0.7492
Sn2 0.7500 0.2500 0.2508

6.
# Zn2Ag5Sn GGA-PBE relaxed
# space group	Immm
# crystal system	orthorhombic
data_Zn2Ag5Sn
_cell_length_a 7.1549
_cell_length_b 7.1549
_cell_length_c 7.1549
_cell_angle_alpha 155.08
_cell_angle_beta 104.75
_cell_angle_gamma 80.71
_space_group_name_H-M_alt 'P 1'
_space_group_IT_number 1
loop_
_space_group_symop_operation_xyz
'x,y,z'
loop_
_atom_site_label
_atom_site_fract_x
_atom_site_fract_y
_atom_site_fract_z
Zn1 0.2467 0.2467 0.0000
Zn2 0.7533 0.7533 0.0000
Ag1 0.0000 0.0000 0.0000
Ag2 0.0935 0.3648 0.7287
Ag3 0.3639 0.6352 0.7287
Ag4 0.6361 0.3648 0.2713
Ag5 0.9065 0.6352 0.2713
Sn1 0.5000 0.0000 0.5000

7.
# ZnAg2Sn GGA-PBE relaxed
# space group	P4/mmm
# crystal system	tetragonal
data_ZnAg2Sn
_cell_length_a 3.2936
_cell_length_b 3.2936
_cell_length_c 7.1697
_cell_angle_alpha 90.00
_cell_angle_beta 90.00
_cell_angle_gamma 90.00
_space_group_name_H-M_alt 'P 1'
_space_group_IT_number 1
loop_
_space_group_symop_operation_xyz
'x,y,z'
loop_
_atom_site_label
_atom_site_fract_x
_atom_site_fract_y
_atom_site_fract_z
Zn1 0.0000 0.0000 0.0000
Ag1 0.5000 0.5000 0.2082
Ag2 0.5000 0.5000 0.7918
Sn1 0.0000 0.0000 0.5000

8.
# Zn2Ag2Sn GGA-PBE relaxed
# space group	P4/mbm
# crystal system	tetragonal
data_Zn2Ag2Sn
_cell_length_a 7.9116
_cell_length_b 7.9116
_cell_length_c 3.0075
_cell_angle_alpha 90.00
_cell_angle_beta 90.00
_cell_angle_gamma 90.00
_space_group_name_H-M_alt 'P 1'
_space_group_IT_number 1
loop_
_space_group_symop_operation_xyz
'x,y,z'
loop_
_atom_site_label
_atom_site_fract_x
_atom_site_fract_y
_atom_site_fract_z
Zn1 0.1194 0.3806 0.0000
Zn2 0.3806 0.8806 0.0000
Zn3 0.6194 0.1194 0.0000
Zn4 0.8806 0.6194 0.0000
Ag1 0.1759 0.6759 0.5000
Ag2 0.3241 0.1759 0.5000
Ag3 0.6759 0.8241 0.5000
Ag4 0.8241 0.3241 0.5000
Sn1 0.0000 0.0000 0.0000
Sn2 0.5000 0.5000 0.0000

9.
# Zn2Ag7Sn2 GGA-PBE relaxed
# space group	Cm
# crystal system	monoclinic
data_Zn2Ag7Sn2
_cell_length_a 6.9747
_cell_length_b 6.9747
_cell_length_c 4.9172
_cell_angle_alpha 104.52
_cell_angle_beta 104.52
_cell_angle_gamma 106.35
_space_group_name_H-M_alt 'P 1'
_space_group_IT_number 1
loop_
_space_group_symop_operation_xyz
'x,y,z'
loop_
_atom_site_label
_atom_site_fract_x
_atom_site_fract_y
_atom_site_fract_z
Zn1 0.0000 0.0000 0.0000
Zn2 0.6991 0.6991 0.1166
Ag1 0.1229 0.8643 0.4948
Ag2 0.1669 0.4393 0.3708
Ag3 0.3092 0.3092 0.8840
Ag4 0.4393 0.1669 0.3708
Ag5 0.5547 0.8136 0.6186
Ag6 0.8136 0.5547 0.6186
Ag7 0.8643 0.1229 0.4948
Sn1 0.2744 0.7203 0.9947
Sn2 0.7203 0.2744 0.9947

10.
# Zn4Ag4Sn GGA-PBE relaxed
# space group	P4_2/n
# crystal system	tetragonal
data_Zn4Ag4Sn
_cell_length_a 8.1796
_cell_length_b 8.1796
_cell_length_c 4.8945
_cell_angle_alpha 90.00
_cell_angle_beta 90.00
_cell_angle_gamma 90.00
_space_group_name_H-M_alt 'P 1'
_space_group_IT_number 1
loop_
_space_group_symop_operation_xyz
'x,y,z'
loop_
_atom_site_label
_atom_site_fract_x
_atom_site_fract_y
_atom_site_fract_z
Zn1 0.0432 0.1315 0.1630
Zn2 0.1315 0.4568 0.3370
Zn3 0.3685 0.0432 0.3370
Zn4 0.4568 0.3685 0.1630
Zn5 0.5432 0.6315 0.8370
Zn6 0.6315 0.9568 0.6630
Zn7 0.8685 0.5432 0.6630
Zn8 0.9568 0.8685 0.8370
Ag1 0.0980 0.8257 0.3527
Ag2 0.1743 0.5980 0.8527
Ag3 0.3257 0.9020 0.8527
Ag4 0.4020 0.6743 0.3527
Ag5 0.5980 0.3257 0.6473
Ag6 0.6743 0.0980 0.1473
Ag7 0.8257 0.4020 0.1473
Ag8 0.9020 0.1743 0.6473
Sn1 0.2500 0.2500 0.7500
Sn2 0.7500 0.7500 0.2500

11.
# ZnAg2Sn GGA-PBE relaxed
# space group	P4/mmm
# crystal system	tetragonal
data_ZnAg2Sn
_cell_length_a 4.2190
_cell_length_b 4.2190
_cell_length_c 4.2925
_cell_angle_alpha 90.00
_cell_angle_beta 90.00
_cell_angle_gamma 90.00
_space_group_name_H-M_alt 'P 1'
_space_group_IT_number 1
loop_
_space_group_symop_operation_xyz
'x,y,z'
loop_
_atom_site_label
_atom_site_fract_x
_atom_site_fract_y
_atom_site_fract_z
Zn1 0.0000 0.0000 0.0000
Ag1 0.0000 0.5000 0.5000
Ag2 0.5000 0.0000 0.5000
Sn1 0.5000 0.5000 0.0000

12.
# Zn3Ag7Sn GGA-PBE relaxed
# space group	C2/m
# crystal system	monoclinic
data_Zn3Ag7Sn
_cell_length_a 6.6394
_cell_length_b 6.6394
_cell_length_c 5.3945
_cell_angle_alpha 107.67
_cell_angle_beta 107.67
_cell_angle_gamma 93.96
_space_group_name_H-M_alt 'P 1'
_space_group_IT_number 1
loop_
_space_group_symop_operation_xyz
'x,y,z'
loop_
_atom_site_label
_atom_site_fract_x
_atom_site_fract_y
_atom_site_fract_z
Zn1 0.0000 0.0000 0.0000
Zn2 0.2232 0.7768 0.5000
Zn3 0.7768 0.2232 0.5000
Ag1 0.0509 0.5923 0.8115
Ag2 0.1828 0.1828 0.5524
Ag3 0.4077 0.9491 0.1885
Ag4 0.5000 0.5000 0.5000
Ag5 0.5923 0.0509 0.8115
Ag6 0.8172 0.8172 0.4476
Ag7 0.9491 0.4077 0.1885
Sn1 0.5000 0.5000 0.0000

Result set for formation enthalpy at 0 K: -0.17; -0.35; -0.35; -0.54; 0.02; 0.01; 0.05; 0.04; 0.04; 0.06; 0.05; 0.12 eV/atom, one per record in the order listed.